1.
A plane-wave DFT calculation with PBE was carried out for an optimized crystal structure of Na2InHg5Bi.

Lattice parameters (Å, degrees): 10.0537 10.0537 10.0537 134.42 134.42 66.44
Last column: nearest neighbours and their distance in Å.
Sites, in units of the cell vectors:
1 Na 0.1303 0.6303 0.7605  1 Na 2.87, 4 Hg 2.95-3.05
2 Na 0.3697 0.1303 0.5000  1 Na 2.87, 4 Hg 2.95-3.05
3 Na 0.6303 0.8697 0.5000  1 Na 2.87, 4 Hg 2.95-3.05
4 Na 0.8697 0.3697 0.2395  1 Na 2.87, 4 Hg 2.95-3.05
5 In 0.2500 0.7500 0.5000  4 Hg 2.94
6 In 0.7500 0.2500 0.5000  4 Hg 2.94
7 Hg 0.0000 0.0000 0.0000  4 Na 3.05
8 Hg 0.0674 0.1551 0.5000  1 In 2.94, 1 Na 2.95
9 Hg 0.1551 0.6551 0.0877  1 In 2.94, 1 Na 2.95
10 Hg 0.3449 0.4326 0.5000  1 In 2.94, 1 Na 2.95
11 Hg 0.4326 0.9326 0.0877  1 In 2.94, 1 Na 2.95
12 Hg 0.5000 0.5000 0.0000  4 Na 3.05
13 Hg 0.5674 0.0674 0.9123  1 In 2.94, 1 Na 2.95
14 Hg 0.6551 0.5674 0.5000  1 In 2.94, 1 Na 2.95
15 Hg 0.8449 0.3449 0.9123  1 In 2.94, 1 Na 2.95
16 Hg 0.9326 0.8449 0.5000  1 In 2.94, 1 Na 2.95
17 Bi 0.2500 0.2500 0.0000  8 Hg 3.36
18 Bi 0.7500 0.7500 0.0000  8 Hg 3.36

Summary:
- Energy: -1.235 eV per atom
- Energy of formation: -34 kJ/mol of formula units
- DOS(E_F): 2.97 states/eV/f.u.



2.
A plane-wave DFT calculation with PBE was carried out for an optimized crystal structure of Pm3YTh3Se8.

Lattice parameters (Å, degrees): 8.3730 8.3730 8.3730 59.72 59.72 59.72
Last column: nearest neighbours and their distance in Å.
Sites, in units of the cell vectors:
1 Pm 0.0000 0.5000 0.5000  6 Se 2.94-2.95
2 Pm 0.5000 0.0000 0.5000  6 Se 2.94-2.95
3 Pm 0.5000 0.5000 0.0000  6 Se 2.94-2.95
4 Y 0.5000 0.5000 0.5000  6 Se 2.95
5 Th 0.0000 0.0000 0.5000  6 Se 2.96-2.97
6 Th 0.0000 0.5000 0.0000  6 Se 2.96-2.97
7 Th 0.5000 0.0000 0.0000  6 Se 2.96-2.97
8 Se 0.2500 0.2500 0.7494  2 Pm 2.95, 1 Y 2.95, 2 Th 2.96
9 Se 0.2500 0.7494 0.2500  2 Pm 2.95, 1 Y 2.95, 2 Th 2.96
10 Se 0.2512 0.2512 0.2512  3 Pm 2.94, 3 Th 2.97
11 Se 0.2506 0.7500 0.7500  2 Pm 2.95, 1 Y 2.95, 2 Th 2.96
12 Se 0.7494 0.2500 0.2500  2 Pm 2.95, 1 Y 2.95, 2 Th 2.96
13 Se 0.7488 0.7488 0.7488  3 Pm 2.94, 3 Th 2.97
14 Se 0.7500 0.2506 0.7500  2 Pm 2.95, 1 Y 2.95, 2 Th 2.96
15 Se 0.7500 0.7500 0.2506  2 Pm 2.95, 1 Y 2.95, 2 Th 2.96

Summary:
- Energy: -6.467 eV per atom
- Uncorrected formation energy: -1744 meV per atom
- DOS(E_F): 11.97 states/eV/f.u.



3.
A plane-wave DFT calculation with PBE was carried out for an optimized crystal structure of SrNd3Pu2Se6.

Lattice parameters (Å, degrees): 7.3215 7.3215 7.3611 99.57 99.57 119.99
Last column: nearest neighbours and their distance in Å.
Sites, in units of the cell vectors:
1 Sr 0.0000 0.0000 0.0000  6 Se 3.02-3.04
2 Nd 0.1637 0.8363 0.5000  6 Se 2.98-3.02
3 Nd 0.5000 0.5000 0.5000  6 Se 2.97-3.02
4 Nd 0.8363 0.1637 0.5000  6 Se 2.98-3.02
5 Pu 0.3329 0.6671 0.0000  6 Se 2.96-2.97
6 Pu 0.6671 0.3329 0.0000  6 Se 2.96-2.97
7 Se 0.0834 0.4241 0.2491  2 Pu 2.97, 3 Nd 2.98-3.02, 1 Sr 3.04
8 Se 0.2594 0.2594 0.7547  2 Pu 2.96, 3 Nd 2.97-3.01, 1 Sr 3.02
9 Se 0.4241 0.0834 0.2491  2 Pu 2.97, 3 Nd 2.98-3.02, 1 Sr 3.04
10 Se 0.5759 0.9166 0.7509  2 Pu 2.97, 3 Nd 2.98-3.02, 1 Sr 3.04
11 Se 0.7406 0.7406 0.2453  2 Pu 2.96, 3 Nd 2.97-3.01, 1 Sr 3.02
12 Se 0.9166 0.5759 0.7509  2 Pu 2.97, 3 Nd 2.98-3.02, 1 Sr 3.04

Summary:
- Energy: -7.220 eV per atom
- Uncorrected formation energy: -1757 meV per atom
- DOS(E_F): 21.98 states/eV/f.u.



4.
A plane-wave DFT calculation with PBE was carried out for an optimized crystal structure of BaLi2SmGe2.

Lattice parameters (Å, degrees): 4.6519 4.6519 8.0836 90.00 90.00 120.00
Last column: nearest neighbours and their distance in Å.
Sites, in units of the cell vectors:
1 Ba 0.0000 0.0000 0.0000  6 Ge 3.63, 6 Li 3.70, 2 Sm 4.04
2 Li 0.3333 0.6667 0.6852  3 Ge 2.69
3 Li 0.6667 0.3333 0.3148  3 Ge 2.69
4 Sm 0.0000 0.0000 0.5000  6 Li 3.07, 6 Ge 3.12
5 Ge 0.3333 0.6667 0.3029  3 Li 2.69
6 Ge 0.6667 0.3333 0.6971  3 Li 2.69

Summary:
- Energy: -3.841 eV per atom
- Energy of formation: -322 kJ/mol of formula units
- DOS(E_F): 2.90 states/eV/f.u.



5.
A plane-wave DFT calculation with PBE was carried out for an optimized crystal structure of Zn2CI.

Lattice parameters (Å, degrees): 5.7661 5.7661 10.0100 90.00 90.00 90.00
Last column: nearest neighbours and their distance in Å.
Sites, in units of the cell vectors:
1 Zn 0.0991 0.2500 0.1250  2 C 1.99
2 Zn 0.2500 0.5991 0.3750  2 C 1.99
3 Zn 0.2500 0.9009 0.8750  2 C 1.99
4 Zn 0.4009 0.2500 0.6250  2 C 1.99
5 Zn 0.5991 0.7500 0.6250  2 C 1.99
6 Zn 0.7500 0.0991 0.8750  2 C 1.99
7 Zn 0.7500 0.4009 0.3750  2 C 1.99
8 Zn 0.9009 0.7500 0.1250  2 C 1.99
9 C 0.0000 0.0000 0.0000  4 Zn 1.99
10 C 0.0000 0.5000 0.2500  4 Zn 1.99
11 C 0.5000 0.0000 0.7500  4 Zn 1.99
12 C 0.5000 0.5000 0.5000  4 Zn 1.99
13 I 0.0000 0.0000 0.5000  4 Zn 3.00
14 I 0.0000 0.5000 0.7500  4 Zn 3.00
15 I 0.5000 0.0000 0.2500  4 Zn 3.00
16 I 0.5000 0.5000 0.0000  4 Zn 3.00

Summary:
- Energy: -2.815 eV per atom
- Uncorrected formation energy: 516 meV per atom
- DOS(E_F): 2.76 states/eV/f.u.



6.
A plane-wave DFT calculation with PBE was carried out for an optimized crystal structure of Na2CuGeO4.

Lattice parameters (Å, degrees): 5.5885 5.5885 6.4528 90.00 90.00 90.00
Last column: nearest neighbours and their distance in Å.
Sites, in units of the cell vectors:
1 Na 0.0000 0.0000 0.0000  8 O 2.66-2.69
2 Na 0.0000 0.5000 0.2500  4 O 2.29
3 Na 0.5000 0.0000 0.7500  4 O 2.29
4 Na 0.5000 0.5000 0.5000  8 O 2.66-2.69
5 Cu 0.0000 0.5000 0.7500  4 O 1.96
6 Cu 0.5000 0.0000 0.2500  4 O 1.96
7 Ge 0.0000 0.0000 0.5000  4 O 1.79
8 Ge 0.5000 0.5000 0.0000  4 O 1.79
9 O 0.1632 0.7921 0.6566  1 Ge 1.79, 1 Cu 1.96
10 O 0.2079 0.1632 0.3434  1 Ge 1.79, 1 Cu 1.96
11 O 0.2921 0.3368 0.8434  1 Ge 1.79, 1 Cu 1.96
12 O 0.3368 0.7079 0.1566  1 Ge 1.79, 1 Cu 1.96
13 O 0.6632 0.2921 0.1566  1 Ge 1.79, 1 Cu 1.96
14 O 0.7079 0.6632 0.8434  1 Ge 1.79, 1 Cu 1.96
15 O 0.7921 0.8368 0.3434  1 Ge 1.79, 1 Cu 1.96
16 O 0.8368 0.2079 0.6566  1 Ge 1.79, 1 Cu 1.96

Summary:
- Energy: -5.330 eV per atom
- Uncorrected formation energy: -1432 meV per atom



7.
A plane-wave DFT calculation with PBE was carried out for an optimized crystal structure of LaHg2Pt.

Lattice parameters (Å, degrees): 3.9760 4.8063 10.0890 90.00 90.00 90.00
Last column: nearest neighbours and their distance in Å.
Sites, in units of the cell vectors:
1 La 0.0000 0.0000 0.0000  4 Pt 3.12, 8 Hg 3.33-3.39
2 La 0.5000 0.5000 0.5000  4 Pt 3.12, 8 Hg 3.33-3.39
3 Hg 0.0000 0.5000 0.2281  2 Pt 3.04, 4 Hg 3.15, 4 La 3.33-3.39
4 Hg 0.0000 0.5000 0.7719  2 Pt 3.04, 4 Hg 3.15, 4 La 3.33-3.39
5 Hg 0.5000 0.0000 0.2719  2 Pt 3.04, 4 Hg 3.15, 4 La 3.33-3.39
6 Hg 0.5000 0.0000 0.7281  2 Pt 3.04, 4 Hg 3.15, 4 La 3.33-3.39
7 Pt 0.0000 0.0000 0.5000  4 Hg 3.04, 4 La 3.12
8 Pt 0.5000 0.5000 0.0000  4 Hg 3.04, 4 La 3.12

Summary:
- Energy: -3.408 eV per atom
- Energy of formation: -199 kJ/mol of formula units
- DOS(E_F): 2.33 states/eV/f.u.



8.
A plane-wave DFT calculation with PBE was carried out for an optimized crystal structure of BeRe2P.

Lattice parameters (Å, degrees): 7.5698 2.8499 4.8773 90.00 101.64 90.00
Last column: nearest neighbours and their distance in Å.
Sites, in units of the cell vectors:
1 Be 0.0000 0.0000 0.0000  6 Re 2.44-2.47
2 Be 0.5000 0.5000 0.0000  6 Re 2.44-2.47
3 Re 0.2494 0.5000 0.2455  3 Be 2.44-2.47, 3 P 2.46-2.49
4 Re 0.2506 0.0000 0.7545  3 Be 2.44-2.47, 3 P 2.46-2.49
5 Re 0.7494 0.0000 0.2455  3 Be 2.44-2.47, 3 P 2.46-2.49
6 Re 0.7506 0.5000 0.7545  3 Be 2.44-2.47, 3 P 2.46-2.49
7 P 0.0000 0.5000 0.5000  6 Re 2.46-2.49
8 P 0.5000 0.0000 0.5000  6 Re 2.46-2.49

Summary:
- Energy: -8.396 eV per atom
- Energy of formation: 43 kJ/mol of formula units
- DOS(E_F): 2.69 states/eV/f.u.



9.
A plane-wave DFT calculation with PBE was carried out for an optimized crystal structure of LiHfZrMo.

Lattice parameters (Å, degrees): 6.6537 6.6537 6.6537 90.00 90.00 90.00
Last column: nearest neighbours and their distance in Å.
Sites, in units of the cell vectors:
1 Li 0.0000 0.0000 0.0000  4 Hf 2.88, 4 Zr 2.88
2 Li 0.0000 0.5000 0.5000  4 Hf 2.88, 4 Zr 2.88
3 Li 0.5000 0.0000 0.5000  4 Hf 2.88, 4 Zr 2.88
4 Li 0.5000 0.5000 0.0000  4 Hf 2.88, 4 Zr 2.88
5 Hf 0.2500 0.2500 0.7500  4 Mo 2.88, 4 Li 2.88
6 Hf 0.2500 0.7500 0.2500  4 Mo 2.88, 4 Li 2.88
7 Hf 0.7500 0.2500 0.2500  4 Mo 2.88, 4 Li 2.88
8 Hf 0.7500 0.7500 0.7500  4 Mo 2.88, 4 Li 2.88
9 Zr 0.2500 0.2500 0.2500  4 Mo 2.88, 4 Li 2.88
10 Zr 0.2500 0.7500 0.7500  4 Mo 2.88, 4 Li 2.88
11 Zr 0.7500 0.2500 0.7500  4 Mo 2.88, 4 Li 2.88
12 Zr 0.7500 0.7500 0.2500  4 Mo 2.88, 4 Li 2.88
13 Mo 0.0000 0.0000 0.5000  4 Zr 2.88, 4 Hf 2.88
14 Mo 0.0000 0.5000 0.0000  4 Zr 2.88, 4 Hf 2.88
15 Mo 0.5000 0.0000 0.0000  4 Zr 2.88, 4 Hf 2.88
16 Mo 0.5000 0.5000 0.5000  4 Zr 2.88, 4 Hf 2.88

Summary:
- Energy: -7.780 eV per atom
- Energy of formation: 12 kJ/mol of formula units
- DOS(E_F): 2.43 states/eV/f.u.



10.
A plane-wave DFT calculation with PBE was carried out for an optimized crystal structure of SmAs2.

Lattice parameters (Å, degrees): 5.6109 5.6180 9.2912 90.00 90.00 90.00
Last column: nearest neighbours and their distance in Å.
Sites, in units of the cell vectors:
1 Sm 0.0000 0.0000 0.0000  10 As 3.07-3.40
2 Sm 0.0000 0.5000 0.5000  10 As 3.07-3.40
3 Sm 0.5000 0.0000 0.5000  10 As 3.07-3.40
4 Sm 0.5000 0.5000 0.0000  10 As 3.07-3.40
5 As 0.0000 0.0000 0.3664  1 As 2.48
6 As 0.0000 0.0000 0.6336  1 As 2.48
7 As 0.0000 0.5000 0.1336  1 As 2.48
8 As 0.0000 0.5000 0.8664  1 As 2.48
9 As 0.5000 0.0000 0.1336  1 As 2.48
10 As 0.5000 0.0000 0.8664  1 As 2.48
11 As 0.5000 0.5000 0.3664  1 As 2.48
12 As 0.5000 0.5000 0.6336  1 As 2.48

Summary:
- Energy: -5.443 eV per atom
- Energy of formation: -223 kJ/mol of formula units
- DOS(E_F): 1.94 states/eV/f.u.



11.
A plane-wave DFT calculation with PBE was carried out for an optimized crystal structure of Al2InBr.

Lattice parameters (Å, degrees): 3.4137 5.7435 9.9954 90.00 90.00 90.00
Last column: nearest neighbours and their distance in Å.
Sites, in units of the cell vectors:
1 Al 0.0000 0.0000 0.0000  2 Al 2.70, 2 In 3.00
2 Al 0.0000 0.5000 0.2098  2 Br 2.56, 2 Al 2.70
3 Al 0.5000 0.0000 0.2098  2 Br 2.56, 2 Al 2.70
4 Al 0.5000 0.5000 0.0000  2 Al 2.70, 2 In 3.00
5 In 0.0000 0.5000 0.7533  2 Al 3.00, 4 In 3.34
6 In 0.5000 0.0000 0.7533  2 Al 3.00, 4 In 3.34
7 Br 0.0000 0.0000 0.4005  2 Al 2.56
8 Br 0.5000 0.5000 0.4005  2 Al 2.56

Summary:
- Energy: -2.950 eV per atom
- Uncorrected formation energy: 24 meV per atom
- DOS(E_F): 1.67 states/eV/f.u.



12.
A plane-wave DFT calculation with PBE was carried out for an optimized crystal structure of Ga2Cu2Ag.

Lattice parameters (Å, degrees): 2.8573 13.4196 4.1439 90.00 90.00 90.00
Last column: nearest neighbours and their distance in Å.
Sites, in units of the cell vectors:
1 Ga 0.0000 0.1471 0.0000  4 Cu 2.54
2 Ga 0.0000 0.8529 0.0000  4 Cu 2.54
3 Ga 0.5000 0.3529 0.0000  4 Cu 2.54
4 Ga 0.5000 0.6471 0.0000  4 Cu 2.54
5 Cu 0.0000 0.3276 0.5000  2 Cu 2.53, 4 Ga 2.54, 2 Ag 2.72
6 Cu 0.0000 0.6724 0.5000  2 Cu 2.53, 4 Ga 2.54, 2 Ag 2.72
7 Cu 0.5000 0.1724 0.5000  2 Cu 2.53, 4 Ga 2.54, 2 Ag 2.72
8 Cu 0.5000 0.8276 0.5000  2 Cu 2.53, 4 Ga 2.54, 2 Ag 2.72
9 Ag 0.0000 0.0000 0.5000  4 Cu 2.72, 2 Ag 2.86, 4 Ga 2.86
10 Ag 0.5000 0.5000 0.5000  4 Cu 2.72, 2 Ag 2.86, 4 Ga 2.86

Summary:
- Energy: -3.427 eV per atom
- Energy of formation: -4 kJ/mol of formula units
- DOS(E_F): 1.65 states/eV/f.u.